No. 1
Re2NiBr | SCAN | single point on PBEsol structure

Summary:
magnetization: 0.0 μB/cell
E_form (uncorrected): 1.252 eV per atom
ΔE to the lowest computed polymorph: 611 meV per atom
DOS(E_F): 0.91 states/eV per atom

extended XYZ file:
```
4
Lattice="0.000 3.016 3.016 3.016 0.000 3.016 3.016 3.016 0.000" Properties=species:S:1:pos:R:3 pbc="T T T"
Re 1.508 1.508 1.508
Re 4.523 4.523 4.523
Ni 0.000 0.000 0.000
Br 3.016 3.016 3.016
```

No. 2
Tl2AsPt | SCAN | single point on PBEsol structure

Summary:
magnetization: 0.0 μB/cell
ΔE to the lowest computed polymorph: 118 meV per atom
DOS(E_F): 0.41 states/eV per atom

extended XYZ file:
```
4
Lattice="3.336 0.000 0.000 0.000 3.336 0.000 0.000 0.000 8.156" Properties=species:S:1:pos:R:3 pbc="T T T"
Tl 0.000 0.000 0.000
Tl 1.668 1.668 2.669
As 0.000 0.000 5.012
Pt 1.668 1.668 5.972
```

No. 3
SrYRe2 | SCAN | single point on PBEsol structure

Summary:
magnetization: 1.5 μB/cell
ΔE to the lowest computed polymorph: 620 meV per atom
DOS(E_F): 1.53 states/eV per atom

extended XYZ file:
```
4
Lattice="0.000 3.462 3.462 3.462 0.000 3.462 3.462 3.462 0.000" Properties=species:S:1:pos:R:3 pbc="T T T"
Sr 0.000 0.000 0.000
Y 3.462 3.462 3.462
Re 1.731 1.731 1.731
Re 5.193 5.193 5.193
```

No. 4
CoOs2Se | SCAN | single point on PBEsol structure

Summary:
magnetization: 0.0 μB/cell
E_form (uncorrected): 0.707 eV per atom
DOS(E_F): 0.66 states/eV per atom

extended XYZ file:
```
4
Lattice="2.990 0.000 0.000 0.000 2.990 0.000 0.000 0.000 6.030" Properties=species:S:1:pos:R:3 pbc="T T T"
Co 0.000 0.000 0.000
Os 1.495 1.495 1.342
Os 1.495 1.495 4.689
Se 0.000 0.000 3.015
```

No. 5
ZnTcH3 | SCAN | single point on PBEsol structure

Summary:
magnetization: 0.0 μB/cell
electronic total energy: -11.55 eV/atom
DOS(E_F): 0.05 states/eV per atom

extended XYZ file:
```
5
Lattice="3.392 0.000 0.000 0.000 3.392 0.000 0.000 0.000 3.392" Properties=species:S:1:pos:R:3 pbc="T T T"
Zn 0.000 0.000 0.000
Tc 1.696 1.696 1.696
H 0.000 1.696 1.696
H 1.696 0.000 1.696
H 1.696 1.696 0.000
```

No. 6
BaIn2Cl | SCAN | single point on PBEsol structure

Summary:
magnetization: 0.0 μB/cell
E_form (uncorrected): -0.813 eV per atom
ΔE to the lowest computed polymorph: 182 meV per atom
DOS(E_F): 0.97 states/eV per atom

extended XYZ file:
```
4
Lattice="-2.708 2.708 3.836 2.708 -2.708 3.836 2.708 2.708 -3.836" Properties=species:S:1:pos:R:3 pbc="T T T"
Ba 0.000 0.000 0.000
In 0.000 0.000 3.836
In 0.000 2.708 1.918
Cl 2.708 0.000 1.918
```

Question: What is the magnetization in the sixth record?
Answer: 0.0 μB/cell